Entry from the Alexandria database: Ba2LiZn at its PBEsol-relaxed geometry (SCAN).

Summary:
The calculation puts the energy of formation from the pure elements at -40 meV per atom.

Unit cell a=3.970 b=5.763 c=6.921 alpha=114.60 beta=106.67 gamma=90.00
Fractional coordinates of all 4 atoms:
Zn  0.779  0.279  0.558
Ba  0.045  0.045  0.090
Ba  0.239  0.739  0.477
Li  0.437  0.437  0.874

Entry from the Alexandria database: Ba4LiZn at its PBEsol-relaxed geometry (SCAN).

Summary:
The calculation puts the energy of formation from the pure elements at 487 meV per atom.

Unit cell a=7.331 b=7.331 c=7.331 alpha=60.00 beta=60.00 gamma=60.00
Each line ends with the local moment (μB).
Fractional coordinates of all 6 atoms:
Ba  0.374  0.374  0.374  0.24
Ba  0.374  0.374  0.877  0.24
Ba  0.877  0.374  0.374  0.24
Ba  0.374  0.877  0.374  0.24
Li  0.750  0.750  0.750  0.00
Zn  0.000  0.000  0.000  0.03

Entry from the Alexandria database: Ba2LiZn at its PBEsol-relaxed geometry (SCAN).

Summary:
The calculation puts the energy of formation from the pure elements at -64 meV per atom.

Unit cell a=4.628 b=5.161 c=6.522 alpha=90.00 beta=110.78 gamma=90.00
Fractional coordinates of all 4 atoms:
Zn  0.693  0.500  0.387
Ba  0.108  0.000  0.216
Ba  0.396  0.500  0.791
Li  0.806  0.000  0.612

Entry from the Alexandria database: BaLiZn2 at its PBEsol-relaxed geometry (SCAN).

Summary:
The calculation puts the energy of formation from the pure elements at -213 meV per atom.

Unit cell a=4.458 b=4.469 c=6.267 alpha=110.58 beta=90.00 gamma=119.92
Fractional coordinates of all 4 atoms:
Zn  0.990  0.981  0.971
Zn  0.311  0.621  0.933
Ba  0.507  0.014  0.518
Li  0.692  0.384  0.078

Entry from the Alexandria database: Ba2LiZn2 at its PBEsol-relaxed geometry (SCAN).

Summary:
The calculation puts the energy of formation from the pure elements at -92 meV per atom.

Unit cell a=4.423 b=8.596 c=8.596 alpha=90.00 beta=90.00 gamma=90.00
Fractional coordinates of all 10 atoms:
Zn  0.000  0.392  0.892
Zn  0.000  0.892  0.608
Zn  0.000  0.608  0.108
Zn  0.000  0.108  0.392
Ba  0.500  0.184  0.684
Ba  0.500  0.684  0.816
Ba  0.500  0.816  0.316
Ba  0.500  0.316  0.184
Li  0.000  0.000  0.000
Li  0.000  0.500  0.500

Entry from the Alexandria database: Ba2LiZn at its PBEsol-relaxed geometry (SCAN).

Summary:
The calculation puts the energy of formation from the pure elements at -28 meV per atom.

Unit cell a=3.974 b=3.974 c=8.968 alpha=90.00 beta=90.00 gamma=90.00
Fractional coordinates of all 4 atoms:
Zn  0.500  0.500  0.696
Ba  0.000  0.000  0.920
Ba  0.500  0.500  0.314
Li  0.000  0.000  0.570

Entry from the Alexandria database: BaLiZr at its PBEsol-relaxed geometry (SCAN).

Summary:
The calculation puts the energy of formation from the pure elements at 571 meV per atom.

Unit cell a=3.375 b=3.375 c=8.563 alpha=90.00 beta=90.00 gamma=120.00
Fractional coordinates of all 3 atoms:
Ba  0.000  0.000  0.004
Li  0.333  0.667  0.642
Zr  0.667  0.333  0.354

Entry from the Alexandria database: BaLiZr at its PBEsol-relaxed geometry (SCAN).

Summary:
The calculation puts the energy of formation from the pure elements at 544 meV per atom.

Unit cell a=3.260 b=3.260 c=8.239 alpha=101.41 beta=101.41 gamma=90.00
Each line ends with the local moment (μB).
Fractional coordinates of all 3 atoms:
Ba  0.998  0.998  0.996  0.05
Li  0.683  0.683  0.365  0.00
Zr  0.319  0.319  0.639  0.72

Entry from the Alexandria database: Ba2LiZr2 at its PBEsol-relaxed geometry (SCAN).

Summary:
The calculation puts the energy of formation from the pure elements at 488 meV per atom.

Unit cell a=3.999 b=3.999 c=11.757 alpha=99.79 beta=99.79 gamma=90.00
Each line ends with the local moment (μB).
Fractional coordinates of all 5 atoms:
Ba  0.393  0.393  0.786  -0.01
Ba  0.607  0.607  0.214  -0.01
Zr  0.250  0.750  0.500  -0.12
Zr  0.750  0.250  0.500  -0.12
Li  0.000  0.000  0.000  0.01

Entry from the Alexandria database: BaLi2Zr at its PBEsol-relaxed geometry (SCAN).

Summary:
The calculation puts the energy of formation from the pure elements at 489 meV per atom.

Unit cell a=3.175 b=5.574 c=6.343 alpha=95.59 beta=90.00 gamma=106.55
Each line ends with the local moment (μB).
Fractional coordinates of all 4 atoms:
Ba  0.500  0.000  0.000  0.07
Li  0.742  0.484  0.695  0.00
Li  0.258  0.516  0.305  0.00
Zr  0.000  0.000  0.500  0.58

Entry from the Alexandria database: BaLiZr2 at its PBEsol-relaxed geometry (SCAN).

Summary:
The calculation puts the energy of formation from the pure elements at 566 meV per atom.

Unit cell a=3.409 b=3.409 c=8.666 alpha=90.00 beta=90.00 gamma=90.00
Fractional coordinates of all 4 atoms:
Ba  0.500  0.500  0.000
Li  0.500  0.500  0.500
Zr  0.000  0.000  0.671
Zr  0.000  0.000  0.329

Entry from the Alexandria database: BaLi2Zr at its PBEsol-relaxed geometry (SCAN).

Summary:
The calculation puts the energy of formation from the pure elements at 649 meV per atom.

Unit cell a=5.176 b=5.176 c=5.176 alpha=60.00 beta=60.00 gamma=60.00
Fractional coordinates of all 4 atoms:
Ba  0.500  0.500  0.500
Li  0.000  0.000  0.000
Li  0.750  0.750  0.750
Zr  0.250  0.250  0.250